## Sr4CaGa4 (PBE)

Data for crystalline Sr4CaGa4 at its relaxed geometry.

Energy of formation from the pure elements: -0.24 eV/atom
Space-group type: P4_2/n, No. 86
VASP energy: -23.0 eV per formula unit
Volume: 35.36 Å³/atom

Cell lengths 9.8244, 9.8244, 6.5943 Å; angles 90.00, 90.00, 90.00 degrees
Positions (direct):
Sr1 0.0630 0.6667 0.1177
Sr2 0.1667 0.9370 0.6177
Sr3 0.3333 0.5630 0.6177
Sr4 0.4370 0.8333 0.1177
Sr5 0.5630 0.1667 0.8823
Sr6 0.6667 0.4370 0.3823
Sr7 0.8333 0.0630 0.3823
Sr8 0.9370 0.3333 0.8823
Ca1 0.2500 0.2500 0.2500
Ca2 0.7500 0.7500 0.7500
Ga1 0.0082 0.6046 0.6098
Ga2 0.1046 0.9918 0.1098
Ga3 0.3954 0.5082 0.1098
Ga4 0.4918 0.8954 0.6098
Ga5 0.5082 0.1046 0.3902
Ga6 0.6046 0.4918 0.8902
Ga7 0.8954 0.0082 0.8902
Ga8 0.9918 0.3954 0.3902